# 1
Entry from Alexandria: an optimized crystal structure of NbCu2I2 (PBE).

As for the density: 7208 kg/m³. As for the energy above the most stable polymorph in this dataset: 69 meV/atom. The formation energy (no corrections) comes out at 0.762 eV/atom. As for the crystal system: tetragonal.

a b c (Å): 5.3565 5.3565 7.6083
angles (deg): 90.00 90.00 90.00
Space group I4/mmm (No. 139)
Asymmetric unit:
Nb 0.0000 0.0000 0.0000 (multiplicity 2)
Cu 0.0000 0.0000 0.3465 (multiplicity 4)
I 0.0000 0.5000 0.2500 (multiplicity 4)

***

# 2
Entry from Alexandria: an optimized crystal structure of NpHICl (PBE).

The value obtained for the total energy is -5.91 eV per atom. As for the density: 6421 kg/m³. As for the crystal system: trigonal.

a b c (Å): 3.9457 3.9457 23.0390
angles (deg): 90.00 90.00 120.00
Space group R3m (No. 160, hexagonal axes)
Asymmetric unit:
Np 0.0000 0.0000 0.0000 (multiplicity 3)
H 0.0000 0.0000 0.3367 (multiplicity 3)
I 0.0000 0.0000 0.7621 (multiplicity 3)
Cl 0.0000 0.0000 0.5918 (multiplicity 3)

***

# 3
Entry from Alexandria: an optimized crystal structure of CsK2NdI6 (PBE).

As for the density: 3420 kg/m³. The formation energy (no corrections) comes out at -1.471 eV/atom. As for the crystal system: trigonal.

a b c (Å): 8.9040 8.9040 23.6949
angles (deg): 90.00 90.00 120.00
Space group R3 (No. 146, hexagonal axes)
Asymmetric unit:
Cs 0.0000 0.0000 0.0000 (multiplicity 3)
K 0.0000 0.0000 0.1976 (multiplicity 3)
K 0.0000 0.0000 0.7134 (multiplicity 3)
Nd 0.0000 0.0000 0.5157 (multiplicity 3)
I 0.0453 0.3590 0.1112 (multiplicity 9)
I 0.0727 0.6938 0.2663 (multiplicity 9)

***

# 4
Entry from Alexandria: an optimized crystal structure of MgCd2Ga2 (PBE).

For the formation energy, the calculation gives 0.33 eV per formula unit. As for the density: 5827 kg/m³. As for the energy above the most stable polymorph in this dataset: 73 meV/atom. As for the crystal system: tetragonal.

a b c (Å): 8.0938 8.0938 3.3808
angles (deg): 90.00 90.00 90.00
Space group P4/mbm (No. 127)
Asymmetric unit:
Mg 0.0000 0.0000 0.0000 (multiplicity 2)
Cd 0.1309 0.3691 0.0000 (multiplicity 4)
Ga 0.1717 0.6717 0.5000 (multiplicity 4)

***

# 5
Entry from Alexandria: an optimized crystal structure of YSc3Cu2 (PBE).

For the formation energy, the calculation gives -0.78 eV per formula unit. As for the density: 4489 kg/m³. As for the crystal system: orthorhombic.

a b c (Å): 3.4746 9.0394 8.2653
angles (deg): 90.00 90.00 90.00
Space group Pmc2_1 (No. 26)
Asymmetric unit:
Y 0.0000 0.0833 0.0000 (multiplicity 2)
Sc 0.0000 0.2955 0.6456 (multiplicity 2)
Sc 0.5000 0.2178 0.3247 (multiplicity 2)
Sc 0.5000 0.4290 0.9714 (multiplicity 2)
Cu 0.0000 0.4245 0.2532 (multiplicity 2)
Cu 0.5000 0.0833 0.7148 (multiplicity 2)

***

# 6
Entry from Alexandria: an optimized crystal structure of Hf4Nb2Co (PBE).

For the formation energy, the calculation gives 4.39 eV per formula unit. As for the density: 10455 kg/m³. As for the crystal system: tetragonal.

a b c (Å): 4.6066 4.6066 14.3515
angles (deg): 90.00 90.00 90.00
Space group I4/mmm (No. 139)
Asymmetric unit:
Hf 0.0000 0.0000 0.1772 (multiplicity 4)
Hf 0.0000 0.5000 0.0000 (multiplicity 4)
Nb 0.0000 0.0000 0.3690 (multiplicity 4)
Co 0.0000 0.0000 0.0000 (multiplicity 2)

***

# 7
Entry from Alexandria: an optimized crystal structure of K2YOs (PBE).

For the formation energy, the calculation gives 4.73 eV per formula unit. As for the density: 5349 kg/m³. As for the energy above the most stable polymorph in this dataset: 681 meV/atom. As for the crystal system: orthorhombic.

a b c (Å): 5.7956 12.4938 3.0637
angles (deg): 90.00 90.00 90.00
Space group Cmmm (No. 65)
Asymmetric unit:
K 0.2500 0.2500 0.0000 (multiplicity 4)
Y 0.0000 0.0000 0.5000 (multiplicity 2)
Os 0.0000 0.5000 0.5000 (multiplicity 2)

***

# 8
Entry from Alexandria: an optimized crystal structure of Pt3C4 (PBE).

For the formation energy, the calculation gives 9.59 eV per formula unit. As for the density: 12548 kg/m³. As for the energy above the most stable polymorph in this dataset: 237 meV/atom. As for the crystal system: tetragonal.

a b c (Å): 3.5389 3.5389 13.3835
angles (deg): 90.00 90.00 90.00
Space group I4/mmm (No. 139)
Asymmetric unit:
Pt 0.0000 0.0000 0.0000 (multiplicity 2)
Pt 0.0000 0.0000 0.2992 (multiplicity 4)
C 0.0000 0.0000 0.1526 (multiplicity 4)
C 0.0000 0.0000 0.4518 (multiplicity 4)

***

# 9
Entry from Alexandria: an optimized crystal structure of La3Ge2Pt7 (PBE).

For the formation energy, the calculation gives -9.95 eV per formula unit. As for the density: 12348 kg/m³. As for the crystal system: orthorhombic.

a b c (Å): 4.2430 29.5523 4.1346
angles (deg): 90.00 90.00 90.00
Space group Cmmm (No. 65)
Asymmetric unit:
La 0.0000 0.0000 0.0000 (multiplicity 2)
La 0.0000 0.2016 0.0000 (multiplicity 4)
Ge 0.0000 0.4175 0.5000 (multiplicity 4)
Pt 0.0000 0.1267 0.5000 (multiplicity 4)
Pt 0.0000 0.2912 0.5000 (multiplicity 4)
Pt 0.0000 0.3716 0.0000 (multiplicity 4)
Pt 0.0000 0.5000 0.5000 (multiplicity 2)

***

# 10
Entry from Alexandria: an optimized crystal structure of MnCrCu2 (PBE).

For the formation energy, the calculation gives 0.96 eV per formula unit. As for the density: 7834 kg/m³. As for the crystal system: monoclinic.

a b c (Å): 2.5905 3.8866 4.9268
angles (deg): 90.00 90.08 90.00
Space group P2/m (No. 10)
Asymmetric unit:
Mn 0.0000 0.0000 0.0000 (multiplicity 1)
Cr 0.0000 0.0000 0.5000 (multiplicity 1)
Cu 0.5000 0.5000 0.2490 (multiplicity 2)

***

# 11
Entry from Alexandria: an optimized crystal structure of CeErTm2 (PBE).

For the formation energy, the calculation gives 0.09 eV per formula unit. As for the density: 9019 kg/m³. As for the energy above the most stable polymorph in this dataset: 0 meV/atom. As for the crystal system: trigonal.

a b c (Å): 3.5014 3.5014 11.1839
angles (deg): 90.00 90.00 120.00
Space group P-3m1 (No. 164)
Asymmetric unit:
Ce 0.0000 0.0000 0.0000 (multiplicity 1)
Er 0.0000 0.0000 0.5000 (multiplicity 1)
Tm 0.3333 0.6667 0.7528 (multiplicity 2)

***

# 12
Entry from Alexandria: an optimized crystal structure of KLa2RuO6 (PBE).

As for the density: 5461 kg/m³. The formation energy (no corrections) comes out at -2.302 eV/atom. As for the crystal system: monoclinic.

a b c (Å): 5.7124 6.3088 10.2995
angles (deg): 90.00 122.64 90.00
Space group P2_1/c (No. 14)
Asymmetric unit:
K 0.0000 0.0000 0.0000 (multiplicity 2)
La 0.2118 0.0359 0.7232 (multiplicity 4)
Ru 0.5000 0.0000 0.5000 (multiplicity 2)
O 0.1780 0.1500 0.4780 (multiplicity 4)
O 0.2367 0.7392 0.8804 (multiplicity 4)
O 0.4340 0.1227 0.3036 (multiplicity 4)

***

# 13
Entry from Alexandria: an optimized crystal structure of KBaVCl6 (PBE).

As for the density: 2507 kg/m³. The formation energy (no corrections) comes out at -1.799 eV/atom. As for the crystal system: trigonal.

a b c (Å): 7.3641 7.3641 12.4120
angles (deg): 90.00 90.00 120.00
Space group P-31c (No. 163)
Asymmetric unit:
K 0.0000 0.0000 0.0000 (multiplicity 2)
Ba 0.3333 0.6667 0.2500 (multiplicity 2)
V 0.3333 0.6667 0.7500 (multiplicity 2)
Cl 0.0686 0.4000 0.6368 (multiplicity 12)

***

# 14
Entry from Alexandria: an optimized crystal structure of ZrTl2Mo (PBE).

For the formation energy, the calculation gives 1.71 eV per formula unit. As for the density: 11744 kg/m³. As for the energy above the most stable polymorph in this dataset: 102 meV/atom. As for the crystal system: tetragonal.

a b c (Å): 4.2763 4.2763 9.2153
angles (deg): 90.00 90.00 90.00
Space group I-4m2 (No. 119)
Asymmetric unit:
Zr 0.0000 0.0000 0.0000 (multiplicity 2)
Tl 0.0000 0.0000 0.5000 (multiplicity 2)
Tl 0.0000 0.5000 0.2500 (multiplicity 2)
Mo 0.0000 0.5000 0.7500 (multiplicity 2)

***

# 15
Entry from Alexandria: an optimized crystal structure of CsAcCd17 (PBE).

For the formation energy, the calculation gives -1.93 eV per formula unit. As for the density: 7862 kg/m³. As for the crystal system: trigonal.

a b c (Å): 10.4270 10.4270 15.2826
angles (deg): 90.00 90.00 120.00
Space group R3m (No. 160, hexagonal axes)
Asymmetric unit:
Cs 0.0000 0.0000 0.0000 (multiplicity 3)
Ac 0.0000 0.0000 0.6735 (multiplicity 3)
Cd 0.0000 0.0000 0.2445 (multiplicity 3)
Cd 0.0000 0.0000 0.4422 (multiplicity 3)
Cd 0.0017 0.2948 0.3386 (multiplicity 18)
Cd 0.0026 0.5013 0.1899 (multiplicity 9)
Cd 0.0073 0.5036 0.8372 (multiplicity 9)
Cd 0.0194 0.5097 0.4884 (multiplicity 9)

***

# 16
Entry from Alexandria: an optimized crystal structure of Cs6Ag2AuF (PBE).

As for the density: 3921 kg/m³. The formation energy (no corrections) comes out at -0.540 eV/atom. As for the crystal system: monoclinic.

a b c (Å): 8.6107 9.6279 15.1227
angles (deg): 90.00 123.86 90.00
Space group P2_1/c (No. 14)
Asymmetric unit:
Cs 0.1172 0.0338 0.2284 (multiplicity 4)
Cs 0.2224 0.7019 0.0599 (multiplicity 4)
Cs 0.3506 0.1719 0.0506 (multiplicity 4)
Ag 0.2890 0.0970 0.7504 (multiplicity 4)
Au 0.5000 0.0000 0.5000 (multiplicity 2)
F 0.0000 0.0000 0.0000 (multiplicity 2)

***

# 17
Entry from Alexandria: an optimized crystal structure of NaLi2TbI6 (PBE).

As for the density: 4395 kg/m³. The formation energy (no corrections) comes out at -1.268 eV/atom. As for the crystal system: trigonal.

a b c (Å): 7.6843 7.6843 21.2193
angles (deg): 90.00 90.00 120.00
Space group R3 (No. 146, hexagonal axes)
Asymmetric unit:
Na 0.0000 0.0000 0.0000 (multiplicity 3)
Li 0.0000 0.0000 0.1881 (multiplicity 3)
Li 0.0000 0.0000 0.6916 (multiplicity 3)
Tb 0.0000 0.0000 0.5081 (multiplicity 3)
I 0.0104 0.3395 0.7677 (multiplicity 9)
I 0.0380 0.6955 0.2652 (multiplicity 9)

***

# 18
Entry from Alexandria: an optimized crystal structure of Na2Sn2Pb3 (PBE).

For the formation energy, the calculation gives -0.77 eV per formula unit. As for the density: 7380 kg/m³. As for the energy above the most stable polymorph in this dataset: 0 meV/atom. As for the crystal system: monoclinic.

a b c (Å): 11.0455 4.9376 7.4784
angles (deg): 90.00 93.07 90.00
Space group C2/m (No. 12)
Asymmetric unit:
Na 0.0853 0.0000 0.2135 (multiplicity 4)
Sn 0.1294 0.5000 0.9220 (multiplicity 4)
Pb 0.0000 0.5000 0.5000 (multiplicity 2)
Pb 0.2063 0.0000 0.6721 (multiplicity 4)

***

# 19
Entry from Alexandria: an optimized crystal structure of ZnIn2W (PBE).

For the formation energy, the calculation gives 1.81 eV per formula unit. As for the density: 10366 kg/m³. As for the crystal system: trigonal.

a b c (Å): 3.0827 3.0827 27.9640
angles (deg): 90.00 90.00 120.00
Space group R-3m (No. 166, hexagonal axes)
Asymmetric unit:
Zn 0.0000 0.0000 0.0000 (multiplicity 3)
In 0.0000 0.0000 0.2511 (multiplicity 6)
W 0.0000 0.0000 0.5000 (multiplicity 3)

***

# 20
Entry from Alexandria: an optimized crystal structure of In4Hg5H2 (PBE).

The value obtained for the total energy is -1.60 eV per atom. As for the density: 9434 kg/m³. As for the crystal system: monoclinic.

a b c (Å): 15.7257 3.2957 9.9484
angles (deg): 90.00 91.28 90.00
Space group C2/m (No. 12)
Asymmetric unit:
In 0.0208 0.0000 0.1701 (multiplicity 4)
In 0.1529 0.5000 0.9604 (multiplicity 4)
Hg 0.0000 0.5000 0.5000 (multiplicity 2)
Hg 0.1515 0.0000 0.6731 (multiplicity 4)
Hg 0.1764 0.0000 0.3615 (multiplicity 4)
H 0.2185 0.0000 0.0791 (multiplicity 4)

***

# 21
Entry from Alexandria: an optimized crystal structure of Sc3AgN (PBE).

As for the density: 3602 kg/m³. As for the energy above the most stable polymorph in this dataset: 1553 meV/atom. The formation energy (no corrections) comes out at 0.634 eV/atom. As for the crystal system: tetragonal.

a b c (Å): 4.4870 4.4870 23.5135
angles (deg): 90.00 90.00 90.00
Space group I-4m2 (No. 119)
Asymmetric unit:
Sc 0.0000 0.0000 0.1834 (multiplicity 4)
Sc 0.0000 0.2380 0.6170 (multiplicity 8)
Ag 0.0000 0.0000 0.5000 (multiplicity 2)
Ag 0.0000 0.5000 0.7500 (multiplicity 2)
N 0.0000 0.5000 0.1423 (multiplicity 4)

***

# 22
Entry from Alexandria: an optimized crystal structure of KInAgHg2 (PBE).

For the formation energy, the calculation gives -0.03 eV per formula unit. As for the density: 6274 kg/m³. As for the energy above the most stable polymorph in this dataset: 0 meV/atom. As for the crystal system: tetragonal.

a b c (Å): 5.6881 5.6881 5.4236
angles (deg): 90.00 90.00 90.00
Space group P4/mmm (No. 123)
Asymmetric unit:
K 0.0000 0.0000 0.0000 (multiplicity 1)
In 0.5000 0.5000 0.5000 (multiplicity 1)
Ag 0.5000 0.5000 0.0000 (multiplicity 1)
Hg 0.0000 0.5000 0.5000 (multiplicity 2)

***

# 23
Entry from Alexandria: an optimized crystal structure of CdAsCl4 (PBE).

As for the density: 3717 kg/m³. As for the energy above the most stable polymorph in this dataset: 1150 meV/atom. The formation energy (no corrections) comes out at 0.661 eV/atom. As for the crystal system: cubic.

a b c (Å): 8.3787 8.3787 8.3787
angles (deg): 90.00 90.00 90.00
Space group F-43m (No. 216)
Asymmetric unit:
Cd 0.0000 0.0000 0.0000 (multiplicity 4)
As 0.2500 0.2500 0.2500 (multiplicity 4)
Cl 0.1255 0.1255 0.6255 (multiplicity 16)